The following is a DFT calculation (PBE) of MgUSi2Ir2 after structural relaxation.

Its total energy is -7.506 eV per atom. The value obtained for the theoretical density is 11.6 g cm⁻³. For the density of states at the Fermi level, the calculation gives 1.1661 states/eV per atom. Its raw formation energy is -597 meV/atom. The crystal system is trigonal.

Structure (CIF):
```
data_MgUSi2Ir2
_chemical_formula_sum 'Mg1 U1 Si2 Ir2'
_cell_length_a 4.242
_cell_length_b 4.242
_cell_length_c 6.464
_cell_angle_alpha 90.00
_cell_angle_beta 90.00
_cell_angle_gamma 120.00
_space_group_name_H-M_alt 'P 1'
_space_group_IT_number 1
loop_
_space_group_symop_operation_xyz
'x,y,z'
loop_
_atom_site_label
_atom_site_type_symbol
_atom_site_fract_x
_atom_site_fract_y
_atom_site_fract_z
_atom_site_occupancy
Mg1 Mg 0.000 0.000 0.000 1
U1 U 0.000 0.000 0.500 1
Si1 Si 0.333 0.667 0.205 1
Si2 Si 0.667 0.333 0.795 1
Ir1 Ir 0.333 0.667 0.768 1
Ir2 Ir 0.667 0.333 0.232 1
```